# Nd2HoCu4Sn4 PBE relaxed
# - spin magnetization (μB per formula unit) = 0.0
# - crystal system = orthorhombic
# - symmetry = Immm (71)
# - VASP energy (eV/atom) = -4.62
data_Nd2HoCu4Sn4
_space_group_name_H-M_alt 'P 1'
_space_group_IT_number 1
_space_group_name_Hall 'P 1'
_cell_length_a 8.561
_cell_length_b 8.561
_cell_length_c 8.561
_cell_angle_alpha 149.02
_cell_angle_beta 132.32
_cell_angle_gamma 57.95
loop_
_atom_site_label
_atom_site_type_symbol
_atom_site_fract_x
_atom_site_fract_y
_atom_site_fract_z
Cu1 Cu 0.017 0.331 0.686
Nd1 Nd 0.632 0.132 0.500
Nd2 Nd 0.368 0.868 0.500
Sn1 Sn 0.707 0.500 0.207
Sn2 Sn 0.214 0.214 0.000
Cu2 Cu 0.983 0.669 0.314
Cu3 Cu 0.355 0.669 0.686
Ho1 Ho 0.000 0.000 0.000
Sn3 Sn 0.786 0.786 0.000
Cu4 Cu 0.645 0.331 0.314
Sn4 Sn 0.293 0.500 0.793



# NdHo2Cu4Sn4 PBE relaxed
# - spin magnetization (μB per formula unit) = 0.0
# - crystal system = orthorhombic
# - symmetry = Immm (71)
# - VASP energy (eV/atom) = -4.58
data_NdHo2Cu4Sn4
_space_group_name_H-M_alt 'P 1'
_space_group_IT_number 1
_space_group_name_Hall 'P 1'
_cell_length_a 8.480
_cell_length_b 8.480
_cell_length_c 8.480
_cell_angle_alpha 149.50
_cell_angle_beta 131.02
_cell_angle_gamma 58.80
loop_
_atom_site_label
_atom_site_type_symbol
_atom_site_fract_x
_atom_site_fract_y
_atom_site_fract_z
Cu1 Cu 0.644 0.331 0.314
Sn1 Sn 0.302 0.500 0.802
Ho1 Ho 0.632 0.132 0.500
Cu2 Cu 0.017 0.331 0.686
Sn2 Sn 0.219 0.219 0.000
Cu3 Cu 0.983 0.669 0.314
Ho2 Ho 0.368 0.868 0.500
Cu4 Cu 0.356 0.669 0.686
Sn3 Sn 0.698 0.500 0.198
Sn4 Sn 0.781 0.781 0.000
Nd1 Nd 0.000 0.000 0.000



# Ho2CuNi PBE relaxed
# - spin magnetization (μB per formula unit) = 0.0
# - crystal system = orthorhombic
# - energy of formation from the pure elements (eV/atom) = -0.3833
# - symmetry = Pmc2_1 (26)
data_Ho2CuNi
_space_group_name_H-M_alt 'P 1'
_space_group_IT_number 1
_space_group_name_Hall 'P 1'
_cell_length_a 4.347
_cell_length_b 5.364
_cell_length_c 6.991
_cell_angle_alpha 90.00
_cell_angle_beta 90.00
_cell_angle_gamma 90.00
loop_
_atom_site_label
_atom_site_type_symbol
_atom_site_fract_x
_atom_site_fract_y
_atom_site_fract_z
Ni1 Ni 0.500 0.377 0.966
Ho1 Ho 0.500 0.120 0.318
Ho2 Ho 0.500 0.880 0.818
Ho3 Ho 0.000 0.390 0.683
Ho4 Ho 0.000 0.610 0.183
Cu1 Cu 0.000 0.121 0.033
Cu2 Cu 0.000 0.879 0.533
Ni2 Ni 0.500 0.623 0.466



# HoCuNi PBE relaxed
# - spin magnetization (μB per formula unit) = 0.0
# - crystal system = cubic
# - energy of formation from the pure elements (eV/atom) = -0.1349
# - symmetry = F-43m (216)
data_HoCuNi
_space_group_name_H-M_alt 'P 1'
_space_group_IT_number 1
_space_group_name_Hall 'P 1'
_cell_length_a 4.292
_cell_length_b 4.292
_cell_length_c 4.292
_cell_angle_alpha 60.00
_cell_angle_beta 60.00
_cell_angle_gamma 60.00
loop_
_atom_site_label
_atom_site_type_symbol
_atom_site_fract_x
_atom_site_fract_y
_atom_site_fract_z
Cu1 Cu 0.250 0.250 0.250
Ni1 Ni 0.000 0.000 0.000
Ho1 Ho 0.750 0.750 0.750



# Ho2CuNi PBE relaxed
# - spin magnetization (μB per formula unit) = 0.0
# - crystal system = monoclinic
# - energy of formation from the pure elements (eV/atom) = -0.3840
# - symmetry = P2_1/m (11)
data_Ho2CuNi
_space_group_name_H-M_alt 'P 1'
_space_group_IT_number 1
_space_group_name_Hall 'P 1'
_cell_length_a 5.330
_cell_length_b 4.350
_cell_length_c 7.003
_cell_angle_alpha 90.00
_cell_angle_beta 90.14
_cell_angle_gamma 90.00
loop_
_atom_site_label
_atom_site_type_symbol
_atom_site_fract_x
_atom_site_fract_y
_atom_site_fract_z
Ni1 Ni 0.365 0.750 0.462
Ni2 Ni 0.635 0.250 0.538
Ho1 Ho 0.138 0.250 0.671
Cu1 Cu 0.126 0.750 0.968
Ho2 Ho 0.633 0.750 0.806
Ho3 Ho 0.367 0.250 0.194
Cu2 Cu 0.874 0.250 0.032
Ho4 Ho 0.862 0.750 0.329



# Ho2CuNi PBE relaxed
# - spin magnetization (μB per formula unit) = 0.0
# - crystal system = monoclinic
# - energy of formation from the pure elements (eV/atom) = -0.3838
# - symmetry = P2_1/m (11)
data_Ho2CuNi
_space_group_name_H-M_alt 'P 1'
_space_group_IT_number 1
_space_group_name_Hall 'P 1'
_cell_length_a 5.386
_cell_length_b 4.380
_cell_length_c 7.328
_cell_angle_alpha 90.00
_cell_angle_beta 109.90
_cell_angle_gamma 90.00
loop_
_atom_site_label
_atom_site_type_symbol
_atom_site_fract_x
_atom_site_fract_y
_atom_site_fract_z
Ho1 Ho 0.717 0.250 0.432
Ni1 Ni 0.856 0.750 0.714
Ho2 Ho 0.274 0.750 0.071
Ni2 Ni 0.144 0.250 0.286
Ho3 Ho 0.726 0.250 0.929
Cu1 Cu 0.851 0.750 0.214
Ho4 Ho 0.283 0.750 0.568
Cu2 Cu 0.149 0.250 0.786



# HoCuNi PBE relaxed
# - spin magnetization (μB per formula unit) = 0.0
# - crystal system = cubic
# - energy of formation from the pure elements (eV/atom) = 0.3335
# - symmetry = F-43m (216)
data_HoCuNi
_space_group_name_H-M_alt 'P 1'
_space_group_IT_number 1
_space_group_name_Hall 'P 1'
_cell_length_a 4.437
_cell_length_b 4.437
_cell_length_c 4.437
_cell_angle_alpha 60.00
_cell_angle_beta 60.00
_cell_angle_gamma 60.00
loop_
_atom_site_label
_atom_site_type_symbol
_atom_site_fract_x
_atom_site_fract_y
_atom_site_fract_z
Cu1 Cu 0.500 0.500 0.500
Ho1 Ho 0.250 0.250 0.250
Ni1 Ni 0.000 0.000 0.000



# HoCuSi2Ni PBE relaxed
# - spin magnetization (μB per formula unit) = 0.0
# - crystal system = tetragonal
# - symmetry = I-4m2 (119)
# - VASP energy (eV/atom) = -5.66
data_HoCuSi2Ni
_space_group_name_H-M_alt 'P 1'
_space_group_IT_number 1
_space_group_name_Hall 'P 1'
_cell_length_a 5.589
_cell_length_b 5.589
_cell_length_c 5.589
_cell_angle_alpha 138.54
_cell_angle_beta 138.54
_cell_angle_gamma 60.08
loop_
_atom_site_label
_atom_site_type_symbol
_atom_site_fract_x
_atom_site_fract_y
_atom_site_fract_z
Ni1 Ni 0.500 0.500 0.000
Si1 Si 0.372 0.872 0.500
Cu1 Cu 0.000 0.000 0.000
Ho1 Ho 0.750 0.250 0.500
Si2 Si 0.128 0.628 0.500



no.,volume (Å³/cell)
1,237.0
2,231.7
3,163.0
4,55.9
5,162.4
6,162.6
7,61.8
8,75.7